! PBE-GGA Ac5CoNi2, optimized geometry; values from VASP
! * electronic total energy: -4.96 eV per atom
! * calculated formation energy: -0.06 eV per atom
&SYSTEM
  ibrav = 0, nat = 16, ntyp = 3
/
ATOMIC_SPECIES
Co 58.93 Co.upf
Ac 227.00 Ac.upf
Ni 58.69 Ni.upf
ATOMIC_POSITIONS angstrom
Co 0.000 2.808 3.603
Co 2.904 3.860 10.808
Ac 0.000 4.499 6.167
Ac 2.904 2.168 13.372
Ac 0.000 0.746 1.731
Ac 2.904 2.168 8.245
Ac 2.904 5.922 8.937
Ac 2.904 5.922 12.680
Ac 2.904 3.186 3.603
Ac 0.000 0.746 5.475
Ac 0.000 4.499 1.039
Ac 0.000 3.481 10.808
Ni 2.904 4.615 0.854
Ni 0.000 2.052 13.557
Ni 2.904 4.615 6.352
Ni 0.000 2.052 8.060
CELL_PARAMETERS angstrom
5.807 0.000 0.000
-2.904 6.667 0.000
0.000 0.000 14.411